Entry 1:
A plane-wave DFT calculation with PBE was carried out for a relaxed TbCe4Th3As8 crystal.

Computed properties:
Total moment (μB per atom): 0.194
VASP energy (eV/cell): -110.92
SG: R-3m
Formation energy (kJ/mol of atoms): -139.27

The structure in POSCAR format:
```
TbCe4Th3As8
1.0
-4.2906 -7.1482 -1.3651
7.2711 -4.3279 -0.1906
-1.8573 4.8317 6.6766
Tb Ce Th As
1 4 3 8
Direct
0.0000 0.5000 0.0000
0.5000 0.0000 0.0000
0.5000 0.0000 0.5000
0.0000 0.0000 0.0000
0.0000 0.0000 0.5000
0.5000 0.5000 0.0000
0.5000 0.5000 0.5000
0.0000 0.5000 0.5000
0.2483 0.7496 0.0013
0.2483 0.7496 0.4967
0.2492 0.2477 0.4984
0.7530 0.7496 0.0013
0.2470 0.2504 0.9987
0.7508 0.7523 0.5016
0.7517 0.2504 0.5033
0.7517 0.2504 0.9987
```



Entry 2:
A plane-wave DFT calculation with PBE was carried out for a relaxed Tb2CeTh3As6 crystal.

Computed properties:
Total moment (μB per atom): 0.056
VASP energy (eV/cell): -82.85
SG: C2/m
Formation energy (kJ/mol of atoms): -140.72

The structure in POSCAR format:
```
Tb2CeTh3As6
1.0
-1.1754 3.2586 -2.4078
0.3441 -4.9122 -6.8160
-8.0712 -2.6435 4.0582
Tb Ce Th As
2 1 3 6
Direct
0.8324 0.6655 0.6649
0.1676 0.3345 0.3351
0.5000 0.0000 0.0000
0.5000 0.5000 0.0000
0.8335 0.1681 0.6670
0.1665 0.8319 0.3330
0.3335 0.9129 0.6669
0.6681 0.5795 0.3363
0.6665 0.0871 0.3331
0.0019 0.2491 0.0038
0.9981 0.7509 0.9962
0.3319 0.4205 0.6637
```



Entry 3:
A plane-wave DFT calculation with PBE was carried out for a relaxed Tb3CeTh2As6 crystal.

Computed properties:
Total moment (μB per atom): 0.064
VASP energy (eV/cell): -80.38
SG: C2/m
Formation energy (kJ/mol of atoms): -143.29

The structure in POSCAR format:
```
Tb3CeTh2As6
1.0
4.2009 0.0000 0.0000
0.0000 8.3603 0.3173
-2.1004 -2.3905 8.8125
Tb Ce Th As
3 1 2 6
Direct
0.5000 0.5000 0.0000
0.8337 0.1665 0.6673
0.1663 0.8335 0.3327
0.5000 0.0000 0.0000
0.8340 0.6676 0.6680
0.1660 0.3324 0.3320
0.3322 0.9202 0.6645
0.6655 0.5869 0.3309
0.6678 0.0798 0.3355
0.9987 0.2521 0.9975
0.0013 0.7479 0.0025
0.3345 0.4131 0.6691
```



Entry 4:
A plane-wave DFT calculation with PBE was carried out for a relaxed Tb3CeTm2As6 crystal.

Computed properties:
Total moment (μB per atom): 0.040
VASP energy (eV/cell): -74.80
SG: C2/m
Formation energy (kJ/mol of atoms): -145.80

The structure in POSCAR format:
```
Tb3CeTm2As6
1.0
7.1418 -0.0010 0.0001
-3.5700 6.1855 0.0001
-1.1913 -2.0628 6.7438
Tb Ce Tm As
3 1 2 6
Direct
0.1657 0.8343 0.5000
0.8343 0.1657 0.5000
0.5000 0.5000 0.5000
0.0000 0.0000 0.0000
0.3332 0.6668 0.0000
0.6668 0.3332 0.0000
0.9174 0.5813 0.7523
0.7459 0.7459 0.2462
0.0826 0.4187 0.2477
0.5813 0.9174 0.7523
0.2541 0.2541 0.7538
0.4187 0.0826 0.2477
```



Entry 5:
A plane-wave DFT calculation with PBE was carried out for a relaxed Tb2CeTm3As6 crystal.

Computed properties:
Total moment (μB per atom): 0.043
VASP energy (eV/cell): -74.57
SG: C2/m
Formation energy (kJ/mol of atoms): -145.21

The structure in POSCAR format:
```
Tb2CeTm3As6
1.0
4.1181 0.0000 0.0000
0.0000 8.2190 0.3005
-2.0590 -2.3618 8.6355
Tb Ce Tm As
2 1 3 6
Direct
0.8321 0.6643 0.6643
0.1679 0.3357 0.3357
0.5000 0.0000 0.0000
0.5000 0.5000 0.0000
0.8327 0.1680 0.6655
0.1673 0.8320 0.3345
0.3321 0.9194 0.6641
0.6654 0.5861 0.3309
0.6679 0.0806 0.3359
0.9991 0.2543 0.9983
0.0009 0.7457 0.0017
0.3346 0.4139 0.6691
```



Entry 6:
A plane-wave DFT calculation with PBE was carried out for a relaxed TbCe2UAs4 crystal.

Computed properties:
Total moment (μB per atom): 0.494
VASP energy (eV/cell): -56.59
SG: P2/m
Formation energy (kJ/mol of atoms): -123.09

The structure in POSCAR format:
```
TbCe2UAs4
1.0
-0.3962 -2.6647 3.1583
7.1503 0.2176 1.0805
-3.1569 5.1386 3.9395
Tb Ce U As
1 2 1 4
Direct
0.0000 0.0000 0.0000
0.5000 0.0000 0.5000
0.0000 0.5000 0.5000
0.5000 0.5000 0.0000
0.5000 0.2511 0.2437
0.5000 0.7489 0.7563
0.0000 0.2546 0.7582
0.0000 0.7454 0.2418
```



Entry 7:
A plane-wave DFT calculation with PBE was carried out for a relaxed TbCeU2As4 crystal.

Computed properties:
Total moment (μB per atom): 0.718
VASP energy (eV/cell): -60.56
SG: P2/m
Formation energy (kJ/mol of atoms): -106.35

The structure in POSCAR format:
```
TbCeU2As4
1.0
4.1002 0.0000 0.0000
0.0000 7.1036 0.1226
0.0000 -2.4858 6.8165
Tb Ce U As
1 1 2 4
Direct
0.0000 0.0000 0.0000
0.5000 0.5000 0.0000
0.5000 0.0000 0.5000
0.0000 0.5000 0.5000
0.5000 0.2494 0.2550
0.5000 0.7506 0.7450
0.0000 0.2452 0.7436
0.0000 0.7548 0.2564
```



Entry 8:
A plane-wave DFT calculation with PBE was carried out for a relaxed Tb3Ce2UAs6 crystal.

Computed properties:
Total moment (μB per atom): 0.321
VASP energy (eV/cell): -81.32
SG: C2/m
Formation energy (kJ/mol of atoms): -131.67

The structure in POSCAR format:
```
Tb3Ce2UAs6
1.0
4.1452 0.0000 0.0000
0.0000 8.3262 0.2838
-2.0726 -2.4113 8.7356
Tb Ce U As
3 2 1 6
Direct
0.5000 0.5000 0.0000
0.8320 0.1673 0.6640
0.1680 0.8327 0.3360
0.8343 0.6677 0.6686
0.1657 0.3323 0.3314
0.5000 0.0000 0.0000
0.3351 0.9209 0.6703
0.6663 0.5848 0.3325
0.6649 0.0791 0.3297
0.9982 0.2455 0.9965
0.0018 0.7545 0.0035
0.3337 0.4152 0.6675
```